# ErCo3SiB, optimized geometry, DFT PBE
data_ErCo3SiB
_space_group_name_H-M_alt 'C m c m'
_space_group_IT_number 63
_space_group_name_Hall '-C 2c 2'
_cell_length_a 5.2841
_cell_length_b 10.9061
_cell_length_c 5.4306
_cell_angle_alpha 90.00
_cell_angle_beta 90.00
_cell_angle_gamma 90.00
loop_
_atom_site_label
_atom_site_fract_x
_atom_site_fract_y
_atom_site_fract_z
Er1 0.0000 0.2370 0.2500
Co1 0.0000 0.3307 0.7500
Co2 0.2433 0.0000 0.0000
Si1 0.0000 0.1289 0.7500
B1 0.0000 0.4881 0.2500
# formation energy without anion corrections: -413 meV/atom
# total DFT energy (no corrections): -6.744 eV per atom
# N(E_F): 20.5 states/eV per cell
# total moment: 0.00 μB per formula unit

# Al2CdCu, optimized geometry, DFT PBE
data_Al2CdCu
_space_group_name_H-M_alt 'I 4/m m m'
_space_group_IT_number 139
_space_group_name_Hall '-I 4 2'
_cell_length_a 4.0554
_cell_length_b 4.0554
_cell_length_c 8.1633
_cell_angle_alpha 90.00
_cell_angle_beta 90.00
_cell_angle_gamma 90.00
loop_
_atom_site_label
_atom_site_fract_x
_atom_site_fract_y
_atom_site_fract_z
Al1 0.0000 0.5000 0.2500
Cd1 0.0000 0.0000 0.0000
Cu1 0.0000 0.0000 0.5000
# energy of formation from the pure elements: 0.099 eV/atom
# total DFT energy (no corrections): -3.026 eV per atom
# N(E_F): 2.7 states/eV per cell
# total moment: 0.00 μB per formula unit

Question: The lowest total DFT energy (no corrections) belongs to which entry?
Answer: ErCo3SiB

Repeat the first record exactly.
# ErCo3SiB, optimized geometry, DFT PBE
data_ErCo3SiB
_space_group_name_H-M_alt 'C m c m'
_space_group_IT_number 63
_space_group_name_Hall '-C 2c 2'
_cell_length_a 5.2841
_cell_length_b 10.9061
_cell_length_c 5.4306
_cell_angle_alpha 90.00
_cell_angle_beta 90.00
_cell_angle_gamma 90.00
loop_
_atom_site_label
_atom_site_fract_x
_atom_site_fract_y
_atom_site_fract_z
Er1 0.0000 0.2370 0.2500
Co1 0.0000 0.3307 0.7500
Co2 0.2433 0.0000 0.0000
Si1 0.0000 0.1289 0.7500
B1 0.0000 0.4881 0.2500
# formation energy without anion corrections: -413 meV/atom
# total DFT energy (no corrections): -6.744 eV per atom
# N(E_F): 20.5 states/eV per cell
# total moment: 0.00 μB per formula unit

Question: Look up the total DFT energy (no corrections) of the second one.
Answer: -3.026 eV per atom

Question: Which formula does entry 1 have?
Answer: ErCo3SiB